# RbGa2GeMo

An optimized crystal structure of RbGa2GeMo (GGA-PBE, the Alexandria database).

```
RbGa2GeMo
1.0
5.061 0.000 0.000
0.000 5.061 0.000
0.000 0.000 4.944
Rb Ga Ge Mo
1 2 1 1
direct
0.000 0.000 0.000
0.000 0.500 0.500
0.500 0.000 0.500
0.500 0.500 0.000
0.500 0.500 0.500
```

- SG: P4/mmm (123)
- Formation energy from the elements: 1 meV/atom


# Ga2GeMo8S16

An optimized crystal structure of Ga2GeMo8S16 (GGA-PBE, the Alexandria database).

```
Ga2GeMo8S16
1.0
6.910 0.000 0.000
0.000 6.910 0.000
0.000 0.000 11.860
Ga Ge Mo S
2 1 8 16
direct
0.000 0.500 0.208
0.500 0.000 0.792
0.000 0.000 0.500
0.000 0.294 0.714
0.000 0.706 0.714
0.209 0.500 0.877
0.294 0.000 0.286
0.500 0.209 0.123
0.500 0.791 0.123
0.706 0.000 0.286
0.791 0.500 0.877
0.000 0.223 0.320
0.000 0.233 0.906
0.000 0.767 0.906
0.000 0.777 0.320
0.223 0.000 0.680
0.233 0.000 0.094
0.266 0.500 0.679
0.272 0.500 0.094
0.500 0.266 0.321
0.500 0.272 0.906
0.500 0.728 0.906
0.500 0.734 0.321
0.728 0.500 0.094
0.734 0.500 0.679
0.767 0.000 0.094
0.777 0.000 0.680
```

- SG: P-4m2 (115)
- Raw formation energy: -610.6 meV per atom


# GaGeMo4S8

An optimized crystal structure of GaGeMo4S8 (GGA-PBE, the Alexandria database).

```
GaGeMo4S8
1.0
0.000 5.300 5.300
5.300 0.000 5.300
5.300 5.300 0.000
Ga Ge Mo S
1 1 4 8
direct
0.000 0.000 0.000
0.250 0.250 0.250
0.406 0.406 0.406
0.406 0.406 0.781
0.406 0.781 0.406
0.781 0.406 0.406
0.126 0.625 0.625
0.127 0.127 0.127
0.127 0.127 0.620
0.127 0.620 0.127
0.620 0.127 0.127
0.625 0.126 0.625
0.625 0.625 0.126
0.625 0.625 0.625
```

- SG: F-43m (216)
- Raw formation energy: -316.8 meV per atom


# GaGeMoSe2

An optimized crystal structure of GaGeMoSe2 (GGA-PBE, the Alexandria database).

```
GaGeMoSe2
1.0
5.165 0.000 0.000
0.000 5.165 0.000
0.000 0.000 4.679
Ga Ge Mo Se
1 1 1 2
direct
0.000 0.000 0.000
0.000 0.000 0.500
0.500 0.500 0.000
0.000 0.500 0.500
0.500 0.000 0.500
```

- SG: P4/mmm (123)
- Raw formation energy: 887.1 meV per atom


# GaTcGeMo

An optimized crystal structure of GaTcGeMo (GGA-PBE, the Alexandria database).

```
GaTcGeMo
1.0
6.195 0.000 0.000
0.000 6.195 0.000
0.000 0.000 6.195
Ga Tc Ge Mo
4 4 4 4
direct
0.000 0.000 0.000
0.000 0.500 0.500
0.500 0.000 0.500
0.500 0.500 0.000
0.250 0.250 0.750
0.250 0.750 0.250
0.750 0.250 0.250
0.750 0.750 0.750
0.000 0.000 0.500
0.000 0.500 0.000
0.500 0.000 0.000
0.500 0.500 0.500
0.250 0.250 0.250
0.250 0.750 0.750
0.750 0.250 0.750
0.750 0.750 0.250
```

- SG: F-43m (216)
- Formation energy from the elements: 73 meV/atom


# ZnGaGe2Mo

An optimized crystal structure of ZnGaGe2Mo (GGA-PBE, the Alexandria database).

```
ZnGaGe2Mo
1.0
4.865 0.000 0.000
0.000 4.865 0.000
0.000 0.000 5.020
Zn Ga Ge Mo
1 1 2 1
direct
0.000 0.000 0.000
0.500 0.500 0.000
0.000 0.500 0.500
0.500 0.000 0.500
0.000 0.000 0.500
```

- SG: P4/mmm (123)
- Formation energy from the elements: 422 meV/atom


# GaGe3N

An optimized crystal structure of GaGe3N (GGA-PBE, the Alexandria database).

```
GaGe3N
1.0
4.825 0.000 0.000
0.000 4.825 0.000
0.000 0.000 4.825
Ga Ge N
1 3 1
direct
0.000 0.000 0.000
0.000 0.000 0.500
0.000 0.500 0.000
0.500 0.000 0.000
0.500 0.500 0.500
```

- SG: Pm-3m (221)
- Raw formation energy: 1637.1 meV per atom


# GaGeN2

An optimized crystal structure of GaGeN2 (GGA-PBE, the Alexandria database).

```
GaGeN2
1.0
4.656 0.000 0.000
0.000 4.656 0.000
0.000 0.000 9.422
Ga Ge N
4 4 8
direct
0.000 0.000 0.000
0.000 0.500 0.250
0.500 0.000 0.750
0.500 0.500 0.500
0.000 0.000 0.500
0.000 0.500 0.750
0.500 0.000 0.250
0.500 0.500 0.000
0.247 0.250 0.125
0.250 0.747 0.375
0.250 0.753 0.875
0.253 0.250 0.625
0.747 0.750 0.625
0.750 0.247 0.875
0.750 0.253 0.375
0.753 0.750 0.125
```

- SG: I-42d (122)
- Raw formation energy: 126.3 meV per atom


# GaGeN3

An optimized crystal structure of GaGeN3 (GGA-PBE, the Alexandria database).

```
GaGeN3
1.0
3.938 0.000 0.000
0.000 3.938 0.000
0.000 0.000 3.938
Ga Ge N
1 1 3
direct
0.000 0.000 0.000
0.500 0.500 0.500
0.000 0.000 0.500
0.000 0.500 0.000
0.500 0.000 0.000
```

- SG: Pm-3m (221)
- Raw formation energy: 1641.4 meV per atom


# GaGeN2

An optimized crystal structure of GaGeN2 (GGA-PBE, the Alexandria database).

```
GaGeN2
1.0
3.044 0.000 0.000
-1.522 2.636 0.000
0.000 0.000 17.496
Ga Ge N
3 3 6
direct
0.000 0.000 0.000
0.333 0.667 0.667
0.667 0.333 0.333
0.000 0.000 0.500
0.333 0.667 0.167
0.667 0.333 0.833
0.000 0.000 0.108
0.000 0.000 0.892
0.333 0.667 0.558
0.333 0.667 0.775
0.667 0.333 0.225
0.667 0.333 0.442
```

- SG: R-3m (166)
- Raw formation energy: 302.6 meV per atom


# GaGeN2

An optimized crystal structure of GaGeN2 (GGA-PBE, the Alexandria database).

```
GaGeN2
1.0
3.161 0.000 0.000
-1.580 2.737 0.000
0.000 0.000 16.981
Ga Ge N
3 3 6
direct
0.000 0.000 0.000
0.333 0.667 0.667
0.667 0.333 0.333
0.000 0.000 0.500
0.333 0.667 0.167
0.667 0.333 0.833
0.000 0.000 0.394
0.000 0.000 0.606
0.333 0.667 0.061
0.333 0.667 0.273
0.667 0.333 0.727
0.667 0.333 0.939
```

- SG: R-3m (166)
- Raw formation energy: 423.3 meV per atom


# GaGe2N

An optimized crystal structure of GaGe2N (GGA-PBE, the Alexandria database).

```
GaGe2N
1.0
6.297 0.000 0.000
0.000 6.297 0.000
0.000 0.000 6.297
Ga Ge N
4 8 4
direct
0.000 0.000 0.000
0.000 0.500 0.500
0.500 0.000 0.500
0.500 0.500 0.000
0.250 0.250 0.250
0.250 0.250 0.750
0.250 0.750 0.250
0.250 0.750 0.750
0.750 0.250 0.250
0.750 0.250 0.750
0.750 0.750 0.250
0.750 0.750 0.750
0.000 0.000 0.500
0.000 0.500 0.000
0.500 0.000 0.000
0.500 0.500 0.500
```

- SG: Fm-3m (225)
- Raw formation energy: 1062.8 meV per atom


Number 1: DOS at the Fermi energy 3.28 states/eV/f.u.. Number 2: DOS at the Fermi energy 17.68 states/eV/f.u.. Number 3: DOS at the Fermi energy 6.33 states/eV/f.u.. Number 4: DOS at the Fermi energy 2.64 states/eV/f.u.. Number 5: DOS at the Fermi energy 3.28 states/eV/f.u.. Number 6: DOS at the Fermi energy 1.91 states/eV/f.u.. Number 7: DOS at the Fermi energy 2.25 states/eV/f.u.. Number 8: DOS at the Fermi energy 1.63 states/eV/f.u.. Number 9: DOS at the Fermi energy 2.04 states/eV/f.u.. Number 10: DOS at the Fermi energy 1.97 states/eV/f.u.. Number 11: DOS at the Fermi energy 1.90 states/eV/f.u.. Number 12: DOS at the Fermi energy 2.35 states/eV/f.u..